1.
Computed, not measured: a geometry-optimized LiCeErNi structure at the PBE level of DFT.

## Properties
Total magnetic moment ... 0.7 μB per formula unit
Space-group type ... F-43m, No. 216
DFT total energy ... -18.3 eV for the cell shown
Energy of formation ... -39 meV per atom

Unit cell a=4.9255 b=4.9255 c=4.9255 alpha=60.00 beta=60.00 gamma=60.00
Positions (direct):
1 Er 0.0000 0.0000 0.0000
2 Li 0.7500 0.7500 0.7500
3 Ce 0.5000 0.5000 0.5000
4 Ni 0.2500 0.2500 0.2500

2.
Computed, not measured: a geometry-optimized CrSbS2 structure at the PBE level of DFT.

## Properties
Total magnetic moment ... 2.1 μB per formula unit
Formation energy (no corrections) ... -0.23 eV per atom
Space-group type ... Pna2_1, No. 33
DFT total energy ... -91.6 eV for the cell shown

Unit cell a=6.0368 b=10.7296 c=6.1583 alpha=90.00 beta=90.00 gamma=90.00
Positions (direct):
1 S 0.4704 0.9569 0.2149
2 S 0.0498 0.8279 0.5193
3 S 0.0296 0.4569 0.7149
4 S 0.5498 0.6721 0.5193
5 S 0.5296 0.0431 0.7149
6 S 0.9704 0.5431 0.2149
7 S 0.4502 0.3279 0.0193
8 S 0.9502 0.1721 0.0193
9 Cr 0.9069 0.6361 0.5515
10 Cr 0.5931 0.1361 0.0515
11 Cr 0.0931 0.3639 0.0515
12 Cr 0.4069 0.8639 0.5515
13 Sb 0.9407 0.7297 0.9640
14 Sb 0.4407 0.7703 0.9640
15 Sb 0.5593 0.2297 0.4640
16 Sb 0.0593 0.2703 0.4640

3.
Computed, not measured: a geometry-optimized Nd3Dy4Sc structure at the PBE level of DFT.

## Properties
Total magnetic moment ... 0.0 μB per formula unit
Space-group type ... Immm, No. 71
DFT total energy ... -38.0 eV for the cell shown
Energy of formation ... 130 meV per atom

Unit cell a=3.4897 b=11.6333 c=8.8266 alpha=131.22 beta=101.40 gamma=90.00
Positions (direct):
1 Nd 0.7607 0.7607 0.5214
2 Nd 0.2393 0.2393 0.4786
3 Nd 0.0000 0.5000 0.0000
4 Dy 0.3665 0.1089 0.7331
5 Dy 0.6335 0.8911 0.2669
6 Dy 0.3665 0.6242 0.7330
7 Dy 0.6335 0.3758 0.2670
8 Sc 0.5000 0.0000 0.0000

Copy entry 2 word for word.
Computed, not measured: a geometry-optimized CrSbS2 structure at the PBE level of DFT.

## Properties
Total magnetic moment ... 2.1 μB per formula unit
Formation energy (no corrections) ... -0.23 eV per atom
Space-group type ... Pna2_1, No. 33
DFT total energy ... -91.6 eV for the cell shown

Unit cell a=6.0368 b=10.7296 c=6.1583 alpha=90.00 beta=90.00 gamma=90.00
Positions (direct):
1 S 0.4704 0.9569 0.2149
2 S 0.0498 0.8279 0.5193
3 S 0.0296 0.4569 0.7149
4 S 0.5498 0.6721 0.5193
5 S 0.5296 0.0431 0.7149
6 S 0.9704 0.5431 0.2149
7 S 0.4502 0.3279 0.0193
8 S 0.9502 0.1721 0.0193
9 Cr 0.9069 0.6361 0.5515
10 Cr 0.5931 0.1361 0.0515
11 Cr 0.0931 0.3639 0.0515
12 Cr 0.4069 0.8639 0.5515
13 Sb 0.9407 0.7297 0.9640
14 Sb 0.4407 0.7703 0.9640
15 Sb 0.5593 0.2297 0.4640
16 Sb 0.0593 0.2703 0.4640